[1]
An optimized crystal structure of ScTiAg, computed with PBE-GGA.

```
data_ScTiAg
_cell_length_a 12.434
_cell_length_b 3.081
_cell_length_c 6.263
_cell_angle_alpha 90.00
_cell_angle_beta 104.13
_cell_angle_gamma 90.00
_symmetry_space_group_name_H-M 'P 1'
_symmetry_Int_Tables_number 1
loop_
_symmetry_equiv_pos_as_xyz
'x,y,z'
loop_
_atom_site_label
_atom_site_fract_x
_atom_site_fract_y
_atom_site_fract_z
Sc1 0.158 0.000 0.086
Sc2 0.342 0.500 0.914
Sc3 0.658 0.500 0.086
Sc4 0.842 0.000 0.914
Ti1 0.174 0.000 0.580
Ti2 0.326 0.500 0.420
Ti3 0.674 0.500 0.580
Ti4 0.826 0.000 0.420
Ag1 0.003 0.500 0.730
Ag2 0.497 0.000 0.270
Ag3 0.503 0.000 0.730
Ag4 0.997 0.500 0.270
```

Calculated values
space group = C2/m
raw total energy = -68.966 eV for the cell shown
energy above the most stable polymorph in this dataset = 57 meV per atom
calculated formation energy = -0.05 eV per atom


[2]
An optimized crystal structure of ScTiAg, computed with PBE-GGA.

```
data_ScTiAg
_cell_length_a 4.706
_cell_length_b 15.064
_cell_length_c 3.291
_cell_angle_alpha 90.00
_cell_angle_beta 90.00
_cell_angle_gamma 90.00
_symmetry_space_group_name_H-M 'P 1'
_symmetry_Int_Tables_number 1
loop_
_symmetry_equiv_pos_as_xyz
'x,y,z'
loop_
_atom_site_label
_atom_site_fract_x
_atom_site_fract_y
_atom_site_fract_z
Sc1 0.000 0.170 0.000
Sc2 0.000 0.830 0.000
Sc3 0.500 0.330 0.000
Sc4 0.500 0.670 0.000
Ti1 0.000 0.000 0.500
Ti2 0.000 0.500 0.000
Ti3 0.500 0.000 0.000
Ti4 0.500 0.500 0.500
Ag1 0.000 0.350 0.500
Ag2 0.000 0.650 0.500
Ag3 0.500 0.150 0.500
Ag4 0.500 0.850 0.500
```

Calculated values
space group = Cmmm
raw total energy = -68.787 eV for the cell shown
energy above the most stable polymorph in this dataset = 72 meV per atom
calculated formation energy = -0.04 eV per atom


[3]
An optimized crystal structure of ScTiAg, computed with PBE-GGA.

```
data_ScTiAg
_cell_length_a 3.505
_cell_length_b 3.505
_cell_length_c 9.443
_cell_angle_alpha 90.00
_cell_angle_beta 90.00
_cell_angle_gamma 90.00
_symmetry_space_group_name_H-M 'P 1'
_symmetry_Int_Tables_number 1
loop_
_symmetry_equiv_pos_as_xyz
'x,y,z'
loop_
_atom_site_label
_atom_site_fract_x
_atom_site_fract_y
_atom_site_fract_z
Sc1 0.250 0.250 0.248
Sc2 0.750 0.750 0.752
Ti1 0.250 0.250 0.559
Ti2 0.750 0.750 0.441
Ag1 0.250 0.250 0.916
Ag2 0.750 0.750 0.084
```

Calculated values
space group = P4/nmm
raw total energy = -34.828 eV for the cell shown
energy above the most stable polymorph in this dataset = 0 meV per atom
calculated formation energy = -0.11 eV per atom


[4]
An optimized crystal structure of ScTi3Ag, computed with PBE-GGA.

```
data_ScTi3Ag
_cell_length_a 4.685
_cell_length_b 4.685
_cell_length_c 4.685
_cell_angle_alpha 90.00
_cell_angle_beta 90.00
_cell_angle_gamma 90.00
_symmetry_space_group_name_H-M 'P 1'
_symmetry_Int_Tables_number 1
loop_
_symmetry_equiv_pos_as_xyz
'x,y,z'
loop_
_atom_site_label
_atom_site_fract_x
_atom_site_fract_y
_atom_site_fract_z
Sc1 0.000 0.000 0.000
Ti1 0.000 0.000 0.500
Ti2 0.000 0.500 0.000
Ti3 0.500 0.000 0.000
Ag1 0.500 0.500 0.500
```

Calculated values
space group = Pm-3m
raw total energy = -26.749 eV for the cell shown
energy above the most stable polymorph in this dataset = 282 meV per atom
calculated formation energy = 1.22 eV per atom